Record 1
{"formula": "TiCrPd2", "functional": "GGA-PBE", "state": "optimized geometry", "polymorph_energy_mev_per_atom": 0, "crystal_system": "tetragonal", "formation_enthalpy_0k_ev_per_atom": -0.31, "dos_at_fermi_per_ev_atom": 0.835, "dft_energy_ev_per_atom": -7.290, "cell": [[3.970, 0.000, 0.000], [0.000, 3.970, 0.000], [0.000, 0.000, 3.821]], "species": ["Ti", "Cr", "Pd", "Pd"], "fractional_positions": [[0.000, 0.000, 0.000], [0.500, 0.500, 0.000], [0.000, 0.500, 0.500], [0.500, 0.000, 0.500]]}

Record 2
{"formula": "Cd5Ga3", "functional": "GGA-PBE", "state": "optimized geometry", "polymorph_energy_mev_per_atom": 0, "crystal_system": "tetragonal", "formation_enthalpy_0k_ev_per_atom": 0.03, "dos_at_fermi_per_ev_atom": 0.354, "dft_energy_ev_per_atom": -1.676, "cell": [[3.130, 0.000, 0.000], [0.000, 3.130, 0.000], [0.000, 0.000, 17.357]], "species": ["Cd", "Cd", "Cd", "Cd", "Cd", "Ga", "Ga", "Ga"], "fractional_positions": [[0.000, 0.000, 0.000], [0.000, 0.000, 0.264], [0.000, 0.000, 0.736], [0.500, 0.500, 0.132], [0.500, 0.500, 0.868], [0.000, 0.000, 0.500], [0.500, 0.500, 0.389], [0.500, 0.500, 0.611]]}

Record 3
{"formula": "Cr3Ir", "functional": "GGA-PBE", "state": "optimized geometry", "crystal_system": "cubic", "formation_enthalpy_0k_ev_per_atom": 1.60, "dos_at_fermi_per_ev_atom": 1.459, "dft_energy_ev_per_atom": -7.830, "cell": [[4.826, 0.000, 0.000], [0.000, 4.826, 0.000], [0.000, 0.000, 4.826]], "species": ["Cr", "Cr", "Cr", "Ir"], "fractional_positions": [[0.000, 0.000, 0.500], [0.000, 0.500, 0.000], [0.500, 0.000, 0.000], [0.000, 0.000, 0.000]]}

Record 4
{"formula": "Ag5Hg12Br3", "functional": "GGA-PBE", "state": "optimized geometry", "formation_energy_uncorrected_mev_per_atom": 37, "crystal_system": "cubic", "dos_at_fermi_per_ev_atom": 0.228, "dft_energy_ev_per_atom": -1.108, "cell": [[-8.725, 8.725, 8.725], [8.725, -8.725, 8.725], [8.725, 8.725, -8.725]], "species": ["Ag", "Ag", "Ag", "Ag", "Ag", "Ag", "Ag", "Ag", "Ag", "Ag", "Ag", "Ag", "Ag", "Ag", "Ag", "Ag", "Ag", "Ag", "Ag", "Ag", "Hg", "Hg", "Hg", "Hg", "Hg", "Hg", "Hg", "Hg", "Hg", "Hg", "Hg", "Hg", "Hg", "Hg", "Hg", "Hg", "Hg", "Hg", "Hg", "Hg", "Hg", "Hg", "Hg", "Hg", "Hg", "Hg", "Hg", "Hg", "Hg", "Hg", "Hg", "Hg", "Hg", "Hg", "Hg", "Hg", "Hg", "Hg", "Hg", "Hg", "Hg", "Hg", "Hg", "Hg", "Hg", "Hg", "Hg", "Hg", "Br", "Br", "Br", "Br", "Br", "Br", "Br", "Br", "Br", "Br", "Br", "Br"], "fractional_positions": [[0.000, 0.000, 0.000], [0.000, 0.000, 0.500], [0.000, 0.500, 0.000], [0.000, 0.500, 0.500], [0.125, 0.750, 0.875], [0.125, 0.875, 0.250], [0.250, 0.125, 0.875], [0.250, 0.625, 0.375], [0.375, 0.250, 0.625], [0.375, 0.625, 0.750], [0.500, 0.000, 0.000], [0.500, 0.000, 0.500], [0.500, 0.500, 0.000], [0.500, 0.500, 0.500], [0.625, 0.375, 0.250], [0.625, 0.750, 0.375], [0.750, 0.375, 0.625], [0.750, 0.875, 0.125], [0.875, 0.125, 0.750], [0.875, 0.250, 0.125], [0.035, 0.212, 0.101], [0.035, 0.323, 0.934], [0.066, 0.601, 0.388], [0.066, 0.965, 0.677], [0.101, 0.035, 0.212], [0.101, 0.566, 0.888], [0.112, 0.712, 0.677], [0.112, 0.899, 0.434], [0.177, 0.212, 0.612], [0.177, 0.465, 0.566], [0.212, 0.101, 0.035], [0.212, 0.612, 0.177], [0.288, 0.323, 0.888], [0.288, 0.465, 0.399], [0.323, 0.888, 0.288], [0.323, 0.934, 0.035], [0.388, 0.066, 0.601], [0.388, 0.823, 0.788], [0.399, 0.288, 0.465], [0.399, 0.612, 0.934], [0.434, 0.112, 0.899], [0.434, 0.823, 0.535], [0.465, 0.399, 0.288], [0.465, 0.566, 0.177], [0.535, 0.434, 0.823], [0.535, 0.601, 0.712], [0.566, 0.177, 0.465], [0.566, 0.888, 0.101], [0.601, 0.388, 0.066], [0.601, 0.712, 0.535], [0.612, 0.177, 0.212], [0.612, 0.934, 0.399], [0.677, 0.066, 0.965], [0.677, 0.112, 0.712], [0.712, 0.535, 0.601], [0.712, 0.677, 0.112], [0.788, 0.388, 0.823], [0.788, 0.899, 0.965], [0.823, 0.535, 0.434], [0.823, 0.788, 0.388], [0.888, 0.101, 0.566], [0.888, 0.288, 0.323], [0.899, 0.434, 0.112], [0.899, 0.965, 0.788], [0.934, 0.035, 0.323], [0.934, 0.399, 0.612], [0.965, 0.677, 0.066], [0.965, 0.788, 0.899], [0.125, 0.250, 0.375], [0.125, 0.375, 0.750], [0.250, 0.375, 0.125], [0.250, 0.875, 0.625], [0.375, 0.125, 0.250], [0.375, 0.750, 0.125], [0.625, 0.250, 0.875], [0.625, 0.875, 0.750], [0.750, 0.125, 0.375], [0.750, 0.625, 0.875], [0.875, 0.625, 0.250], [0.875, 0.750, 0.625]]}